Record 1
First-principles (PBE) data for crystalline BeAlNiB at its relaxed geometry, as listed in OQMD via LeMat-Bulk.

Cell and atoms, written as POSCAR:
```
BeAlNiB
1.0
1.9975 -2.9239 -1.2227
0.5596 -2.9529 2.2365
-1.7020 -3.2555 -0.7347
B Ni Be Al
1 1 1 1
Direct
0.2500 0.2500 0.2500 B
0.5000 0.5000 0.5000 Ni
0.7500 0.7500 0.7500 Be
0.0000 0.0000 0.0000 Al
```

Properties
E_tot = -19.1 eV per cell
magnetic moment = 0.0006 μB/atom
energy relative to the lowest polymorph listed for this composition = 0.000 kcal/mol of atoms

Record 2
First-principles (PBE) data for crystalline Pr at its relaxed geometry, as listed in OQMD via LeMat-Bulk.

Cell and atoms, written as POSCAR:
```
Pr
1.0
-0.8228 5.1197 2.3482
-3.3427 -1.7461 -4.2638
-3.5897 -2.2995 3.7558
Pr
4
Direct
0.3333 0.6667 0.2500 Pr
0.0000 0.0000 0.7500 Pr
0.0000 0.0000 0.2500 Pr
0.6667 0.3333 0.7500 Pr
```

Properties
E_tot = -16.3 eV per cell
ΔE_f = 0.707 eV/atom
magnetic moment = 0.0263 μB/atom
energy relative to the lowest polymorph listed for this composition = 16.303 kcal/mol of atoms

Record 3
First-principles (PBE) data for crystalline BaPuPt at its relaxed geometry, as listed in OQMD via LeMat-Bulk.

Cell and atoms, written as POSCAR:
```
BaPuPt
1.0
0.0000 3.5470 3.5470
3.5470 0.0000 3.5470
3.5470 3.5470 0.0000
Ba Pu Pt
1 1 1
Direct
0.5000 0.5000 0.5000 Ba
0.2500 0.2500 0.2500 Pu
0.0000 0.0000 0.0000 Pt
```

Properties
E_tot = -22.0 eV per cell
magnetic moment = 2.0604 μB/atom
energy relative to the lowest polymorph listed for this composition = 0.000 kcal/mol of atoms

Record 4
First-principles (PBE) data for crystalline Li3DyEr2Pb3 at its relaxed geometry, as listed in OQMD via LeMat-Bulk.

Cell and atoms, written as POSCAR:
```
Li3DyEr2Pb3
1.0
-4.4295 0.9489 -1.4801
0.7337 -3.2943 3.3646
-0.9221 7.5690 7.6119
Li Pb Er Dy
3 3 2 1
Direct
0.3333 0.6667 0.5000 Li
0.6667 0.3333 0.8105 Li
0.6667 0.3333 0.1895 Li
0.3333 0.6667 0.1729 Pb
0.3333 0.6667 0.8271 Pb
0.6667 0.3333 0.5000 Pb
0.0000 0.0000 0.3356 Er
0.0000 0.0000 0.6644 Er
0.0000 0.0000 0.0000 Dy
```

Properties
E_tot = -34.6 eV per cell
magnetic moment = 0.0008 μB/atom

Record 5
First-principles (PBE) data for crystalline AgPbS6 at its relaxed geometry, as listed in OQMD via LeMat-Bulk.

Cell and atoms, written as POSCAR:
```
AgPbS6
1.0
-3.0307 4.0690 3.8221
-3.9376 4.3356 -2.4594
-6.2676 -0.5385 0.8820
S Ag Pb
6 1 1
Direct
0.2787 0.2787 0.7213 S
0.7213 0.2787 0.7213 S
0.7213 0.2787 0.2787 S
0.2787 0.7213 0.7213 S
0.2787 0.7213 0.2787 S
0.7213 0.7213 0.2787 S
0.0000 0.0000 0.0000 Ag
0.2500 0.2500 0.2500 Pb
```

Properties
E_tot = -25.6 eV per cell

Record 6
First-principles (PBE) data for crystalline Sm3Tc5N12 at its relaxed geometry, as listed in OQMD via LeMat-Bulk.

Cell and atoms, written as POSCAR:
```
Sm3Tc5N12
1.0
-6.3679 6.3679 6.3679
6.3679 -6.3679 6.3679
6.3679 6.3679 -6.3679
Tc N Sm
20 48 12
Direct
0.3750 0.2500 0.6250 Tc
0.0000 0.0000 0.0000 Tc
0.2500 0.6250 0.3750 Tc
0.5000 0.0000 0.5000 Tc
0.7500 0.8750 0.1250 Tc
0.6250 0.3750 0.2500 Tc
0.1250 0.7500 0.8750 Tc
0.8750 0.1250 0.7500 Tc
0.3750 0.6250 0.7500 Tc
0.8750 0.2500 0.1250 Tc
0.0000 0.5000 0.5000 Tc
0.2500 0.1250 0.8750 Tc
0.0000 0.0000 0.5000 Tc
0.7500 0.3750 0.6250 Tc
0.5000 0.5000 0.5000 Tc
0.5000 0.0000 0.0000 Tc
0.0000 0.5000 0.0000 Tc
0.5000 0.5000 0.0000 Tc
0.1250 0.8750 0.2500 Tc
0.6250 0.7500 0.3750 Tc
0.8025 0.8855 0.9853 N
0.0998 0.9853 0.6827 N
0.4853 0.3855 0.3025 N
0.8855 0.4002 0.0829 N
0.6975 0.5147 0.6145 N
0.8855 0.9853 0.8025 N
0.1975 0.5829 0.1827 N
0.9853 0.6827 0.0998 N
0.5147 0.6145 0.6975 N
0.6145 0.6975 0.5147 N
0.0829 0.8855 0.4002 N
0.6975 0.6827 0.0829 N
0.8025 0.4171 0.8173 N
0.9171 0.1145 0.5998 N
0.5147 0.4002 0.8173 N
0.6827 0.0829 0.6975 N
0.0147 0.3173 0.9002 N
0.6827 0.0998 0.9853 N
0.4171 0.8173 0.8025 N
0.0829 0.6975 0.6827 N
0.3173 0.9002 0.0147 N
0.8173 0.5147 0.4002 N
0.1975 0.1145 0.0147 N
0.4171 0.0998 0.6145 N
0.1145 0.0147 0.1975 N
0.0998 0.6145 0.4171 N
0.6145 0.4171 0.0998 N
0.9171 0.3025 0.3173 N
0.9002 0.3855 0.5829 N
0.9002 0.0147 0.3173 N
0.3025 0.3173 0.9171 N
0.4002 0.0829 0.8855 N
0.4853 0.5998 0.1827 N
0.3855 0.3025 0.4853 N
0.5998 0.1827 0.4853 N
0.1145 0.5998 0.9171 N
0.1827 0.1975 0.5829 N
0.3025 0.4853 0.3855 N
0.5829 0.1827 0.1975 N
0.5998 0.9171 0.1145 N
0.8173 0.8025 0.4171 N
0.4002 0.8173 0.5147 N
0.3173 0.9171 0.3025 N
0.5829 0.9002 0.3855 N
0.9853 0.8025 0.8855 N
0.1827 0.4853 0.5998 N
0.3855 0.5829 0.9002 N
0.0147 0.1975 0.1145 N
0.3750 0.1250 0.2500 Sm
0.2500 0.8750 0.6250 Sm
0.3750 0.7500 0.1250 Sm
0.7500 0.1250 0.3750 Sm
0.6250 0.2500 0.8750 Sm
0.2500 0.3750 0.1250 Sm
0.7500 0.6250 0.8750 Sm
0.6250 0.8750 0.7500 Sm
0.1250 0.3750 0.7500 Sm
0.8750 0.6250 0.2500 Sm
0.1250 0.2500 0.3750 Sm
0.8750 0.7500 0.6250 Sm
```

Properties
E_tot = -698.3 eV per cell
magnetic moment = 0.0189 μB/atom

Record 7
First-principles (PBE) data for crystalline MgZr2H6 at its relaxed geometry, as listed in OQMD via LeMat-Bulk.

Cell and atoms, written as POSCAR:
```
MgZr2H6
1.0
4.3541 0.3306 7.2983
6.8216 0.4231 5.0615
5.2190 3.2238 5.8908
H Zr Mg
6 2 1
Direct
0.1392 0.1392 0.1392 H
0.4141 0.4141 0.4141 H
0.5859 0.5859 0.5859 H
0.8608 0.8608 0.8608 H
0.3050 0.3050 0.3050 H
0.6950 0.6950 0.6950 H
0.2254 0.2254 0.2254 Zr
0.7746 0.7746 0.7746 Zr
0.0000 0.0000 0.0000 Mg
```

Properties
E_tot = -43.0 eV per cell
magnetic moment = 0.0018 μB/atom

Record 8
First-principles (PBE) data for crystalline Cu5Ag4 at its relaxed geometry, as listed in OQMD via LeMat-Bulk.

Cell and atoms, written as POSCAR:
```
Cu5Ag4
1.0
-1.3864 4.1455 5.6877
1.3864 -4.1455 5.6877
1.3864 4.1455 -5.6877
Ag Cu
4 5
Direct
0.3318 0.6633 0.6685 Ag
0.3470 0.3470 0.0000 Ag
0.9948 0.6633 0.3315 Ag
0.6644 0.6644 0.0000 Ag
0.3139 0.9949 0.3190 Cu
0.9888 0.9888 0.0000 Cu
0.6759 0.9949 0.6810 Cu
0.6803 0.3417 0.3386 Cu
0.0031 0.3417 0.6614 Cu
```

Properties
E_tot = -29.1 eV per cell
ΔE_f = 0.092 eV/atom
energy relative to the lowest polymorph listed for this composition = 1.186 kcal/mol of atoms

Record 9
First-principles (PBE) data for crystalline GdDyTeO2 at its relaxed geometry, as listed in OQMD via LeMat-Bulk.

Cell and atoms, written as POSCAR:
```
GdDyTeO2
1.0
-2.2002 -3.2288 -0.1076
2.6242 0.4825 2.8563
-4.9976 3.2708 4.0388
Dy Gd Te O
1 1 1 2
Direct
0.0000 0.0000 0.3046 Dy
0.6667 0.3333 0.6965 Gd
0.3333 0.6667 0.0023 Te
0.6667 0.3333 0.3778 O
0.0000 0.0000 0.6188 O
```

Properties
E_tot = -36.7 eV per cell
magnetic moment = 0.0001 μB/atom
energy relative to the lowest polymorph listed for this composition = 1.881 kcal/mol of atoms

Record 10
First-principles (PBE) data for crystalline LiBe2Ir at its relaxed geometry, as listed in OQMD via LeMat-Bulk.

Cell and atoms, written as POSCAR:
```
LiBe2Ir
1.0
5.4642 0.0000 0.0000
0.0000 5.4295 0.0000
0.0000 0.0000 5.6107
Li Ir Be
4 4 8
Direct
0.7434 0.7500 0.0000 Li
0.2434 0.2500 0.5000 Li
0.2566 0.2500 0.0000 Li
0.7566 0.7500 0.5000 Li
0.2606 0.7500 0.0000 Ir
0.7606 0.2500 0.5000 Ir
0.7394 0.2500 0.0000 Ir
0.2394 0.7500 0.5000 Ir
0.0000 0.5000 0.2352 Be
0.5000 0.5000 0.7352 Be
0.0000 0.0000 0.2352 Be
0.5000 0.0000 0.2648 Be
0.5000 0.5000 0.2648 Be
0.5000 0.0000 0.7352 Be
0.0000 0.0000 0.7648 Be
0.0000 0.5000 0.7648 Be
```

Properties
E_tot = -79.1 eV per cell
magnetic moment = 0.0003 μB/atom

Record 11
First-principles (PBE) data for crystalline ZrBPdAu at its relaxed geometry, as listed in OQMD via LeMat-Bulk.

Cell and atoms, written as POSCAR:
```
ZrBPdAu
1.0
-0.4628 -3.3373 -2.9257
0.3374 -4.2327 1.3719
-3.6256 -2.5977 0.1338
Zr B Pd Au
1 1 1 1
Direct
0.0000 0.0000 0.0000 Zr
0.2500 0.2500 0.2500 B
0.5000 0.5000 0.5000 Pd
0.7500 0.7500 0.7500 Au
```

Properties
E_tot = -23.5 eV per cell
magnetic moment = 0.0003 μB/atom
energy relative to the lowest polymorph listed for this composition = 0.000 kcal/mol of atoms